GaBiO3: optimized geometry, GGA-PBE.

Properties
energy relative to the elements, uncorrected = -1506 meV per atom
density of states at the Fermi level = 0.000 states/eV/atom

a b c (Å): 5.2848 7.2654 8.5423
angles (deg): 114.70 90.00 90.00
Last column: nearest neighbours and their distance in Å.
Sites, in units of the cell vectors:
Ga1 0.2574 0.9013 0.9876  5 O 1.89-2.08
Ga2 0.2426 0.9013 0.4876  5 O 1.89-2.08
Ga3 0.7574 0.0987 0.5124  5 O 1.89-2.08
Ga4 0.7426 0.0987 0.0124  5 O 1.89-2.08
O1 0.5488 0.0214 0.1648  2 Ga 1.92-2.08
O2 0.0848 0.1785 0.0998  2 Ga 1.95-2.05
O3 0.6372 0.3506 0.0197  1 Ga 1.89
O4 0.4512 0.9786 0.8352  2 Ga 1.92-2.08
O5 0.4152 0.1785 0.5998  2 Ga 1.95-2.05
O6 0.0488 0.9786 0.3352  2 Ga 1.92-2.08
O7 0.1372 0.6494 0.4803  1 Ga 1.89
O8 0.9152 0.8215 0.9002  2 Ga 1.95-2.05
O9 0.5848 0.8215 0.4002  2 Ga 1.95-2.05
O10 0.9512 0.0214 0.6648  2 Ga 1.92-2.08
O11 0.3628 0.6494 0.9803  1 Ga 1.89
O12 0.8628 0.3506 0.5197  1 Ga 1.89
Bi1 0.7789 0.7102 0.6217  4 O 2.19-2.42
Bi2 0.2211 0.2898 0.3783  4 O 2.19-2.42
Bi3 0.2789 0.2898 0.8783  4 O 2.19-2.42
Bi4 0.7211 0.7102 0.1217  4 O 2.19-2.42